Crystalline Ce2NdGa4 at its relaxed geometry. Source: the Alexandria database, functional GGA-PBE.

Cell lengths 9.8987, 9.8987, 9.8987 Å; angles 155.54, 154.96, 35.28 degrees
Atoms (fractional coordinates):
Ce 0.1890 0.1890 0.0000
Ce 0.8110 0.8110 0.0000
Nd 0.0000 0.5000 0.5000
Ga 0.3585 0.3585 0.0000
Ga 0.4342 0.9342 0.5000
Ga 0.5658 0.0658 0.5000
Ga 0.6415 0.6415 0.0000

Properties
Crystal system = orthorhombic
Density of states at the Fermi level = 11.5 states/eV/cell
Formation enthalpy at 0 K = -0.55 eV per atom

Crystalline Li2SnB2Pt5 at its relaxed geometry. Source: the Alexandria database, functional GGA-PBE.

Cell lengths 9.5827, 9.5827, 3.1569 Å; angles 90.00, 90.00, 90.00 degrees
Atoms (fractional coordinates):
Li 0.1745 0.3255 0.0000
Li 0.3255 0.8255 0.0000
Li 0.6745 0.1745 0.0000
Li 0.8255 0.6745 0.0000
Sn 0.0000 0.0000 0.0000
Sn 0.5000 0.5000 0.0000
B 0.1227 0.6227 0.0000
B 0.3773 0.1227 0.0000
B 0.6227 0.8773 0.0000
B 0.8773 0.3773 0.0000
Pt 0.0000 0.5000 0.5000
Pt 0.0734 0.7764 0.5000
Pt 0.2236 0.0734 0.5000
Pt 0.2764 0.5734 0.5000
Pt 0.4266 0.2764 0.5000
Pt 0.5000 0.0000 0.5000
Pt 0.5734 0.7236 0.5000
Pt 0.7236 0.4266 0.5000
Pt 0.7764 0.9266 0.5000
Pt 0.9266 0.2236 0.5000

Properties
Crystal system = tetragonal
Density of states at the Fermi level = 7.1 states/eV/cell
Formation enthalpy at 0 K = -0.46 eV per atom

Crystalline Ba8Dy3Pt4O18 at its relaxed geometry. Source: the Alexandria database, functional GGA-PBE.

Cell lengths 8.4823, 8.4823, 8.4823 Å; angles 90.00, 90.00, 90.00 degrees
Atoms (fractional coordinates):
Ba 0.2369 0.2369 0.2369
Ba 0.2369 0.2369 0.7631
Ba 0.2369 0.7631 0.2369
Ba 0.2369 0.7631 0.7631
Ba 0.7631 0.2369 0.2369
Ba 0.7631 0.2369 0.7631
Ba 0.7631 0.7631 0.2369
Ba 0.7631 0.7631 0.7631
Dy 0.0000 0.0000 0.5000
Dy 0.0000 0.5000 0.0000
Dy 0.5000 0.0000 0.0000
Pt 0.0000 0.0000 0.0000
Pt 0.0000 0.5000 0.5000
Pt 0.5000 0.0000 0.5000
Pt 0.5000 0.5000 0.0000
O 0.0000 0.0000 0.2388
O 0.0000 0.0000 0.7612
O 0.0000 0.2388 0.0000
O 0.0000 0.2616 0.5000
O 0.0000 0.5000 0.2616
O 0.0000 0.5000 0.7384
O 0.0000 0.7384 0.5000
O 0.0000 0.7612 0.0000
O 0.2388 0.0000 0.0000
O 0.2616 0.0000 0.5000
O 0.2616 0.5000 0.0000
O 0.5000 0.0000 0.2616
O 0.5000 0.0000 0.7384
O 0.5000 0.2616 0.0000
O 0.5000 0.7384 0.0000
O 0.7384 0.0000 0.5000
O 0.7384 0.5000 0.0000
O 0.7612 0.0000 0.0000

Properties
Crystal system = cubic
Density of states at the Fermi level = 22.0 states/eV/cell
Calculated total energy = -6.597 eV per atom

Crystalline Y4InSn2 at its relaxed geometry. Source: the Alexandria database, functional GGA-PBE.

Cell lengths 5.7493, 6.5559, 10.7333 Å; angles 90.00, 103.03, 90.00 degrees
Atoms (fractional coordinates):
Y 0.1511 0.2500 0.1270
Y 0.2713 0.7500 0.4495
Y 0.3056 0.0096 0.7347
Y 0.3056 0.4904 0.7347
Y 0.6944 0.5096 0.2653
Y 0.6944 0.9904 0.2653
Y 0.7287 0.2500 0.5505
Y 0.8489 0.7500 0.8730
In 0.1110 0.7500 0.1701
In 0.8890 0.2500 0.8299
Sn 0.1908 0.2500 0.4350
Sn 0.4107 0.7500 0.9959
Sn 0.5893 0.2500 0.0041
Sn 0.8092 0.7500 0.5650

Properties
Crystal system = monoclinic
Density of states at the Fermi level = 11.8 states/eV/cell
Formation enthalpy at 0 K = -0.49 eV per atom

Crystalline Ca3SbP at its relaxed geometry. Source: the Alexandria database, functional GGA-PBE.

Cell lengths 8.2695, 8.2695, 8.2953 Å; angles 112.05, 112.05, 33.26 degrees
Atoms (fractional coordinates):
Ca 0.0000 0.0000 0.0000
Ca 0.0000 0.0000 0.5000
Ca 0.2542 0.2542 0.8234
Ca 0.3551 0.3551 0.5417
Ca 0.6449 0.6449 0.4583
Ca 0.7458 0.7458 0.1766
Sb 0.4081 0.4081 0.2094
Sb 0.5919 0.5919 0.7906
P 0.1646 0.1646 0.3082
P 0.8354 0.8354 0.6918

Properties
Crystal system = monoclinic
Density of states at the Fermi level = 0.0 states/eV/cell
Calculated total energy = -4.145 eV per atom

Crystalline LiYTlFe2 at its relaxed geometry. Source: the Alexandria database, functional GGA-PBE.

Cell lengths 4.4750, 4.4750, 4.8860 Å; angles 90.00, 90.00, 90.00 degrees
Atoms (fractional coordinates):
Li 0.0000 0.0000 0.0000
Y 0.0000 0.0000 0.5000
Tl 0.5000 0.5000 0.5000
Fe 0.0000 0.5000 0.0000
Fe 0.5000 0.0000 0.0000

Properties
Crystal system = tetragonal
Density of states at the Fermi level = 9.0 states/eV/cell
Formation enthalpy at 0 K = 0.77 eV per atom

Crystalline KHPd at its relaxed geometry. Source: the Alexandria database, functional GGA-PBE.

Cell lengths 5.2528, 5.2528, 5.5213 Å; angles 90.00, 90.00, 117.01 degrees
Atoms (fractional coordinates):
K 0.1704 0.8296 0.7500
K 0.8296 0.1704 0.2500
H 0.3803 0.6197 0.2500
H 0.6197 0.3803 0.7500
Pd 0.5000 0.5000 0.0000
Pd 0.5000 0.5000 0.5000

Properties
Crystal system = orthorhombic
Calculated total energy = -3.459 eV per atom